LaCo2Si: single point on PBEsol structure, SCAN.

a b c (Å): 3.9745 3.9745 14.6659
angles (deg): 90.00 90.00 120.00
Space group R-3m (No. 166, hexagonal axes)
Asymmetric unit:
1 La 0.0000 0.0000 0.0000 [3 per cell]
2 Co 0.0000 0.0000 0.1921 [6 per cell]
3 Si 0.0000 0.0000 0.5000 [3 per cell]

Calculated values
Formation energy without anion corrections ... -0.352 eV/atom

***

La2CoSi: single point on PBEsol structure, SCAN.

a b c (Å): 7.7641 7.7641 5.8934
angles (deg): 90.00 90.00 90.00
Space group I-42d (No. 122)
Asymmetric unit:
1 La 0.1924 0.2500 0.1250 [8 per cell]
2 Co 0.0000 0.0000 0.0000 [4 per cell]
3 Si 0.0000 0.0000 0.5000 [4 per cell]

Calculated values
Formation energy without anion corrections ... 0.066 eV/atom

***

LaCoSi2: single point on PBEsol structure, SCAN.

a b c (Å): 3.8929 3.8929 15.9965
angles (deg): 90.00 90.00 120.00
Space group R-3m (No. 166, hexagonal axes)
Asymmetric unit:
1 La 0.0000 0.0000 0.0000 [3 per cell]
2 Co 0.0000 0.0000 0.5000 [3 per cell]
3 Si 0.0000 0.0000 0.2036 [6 per cell]

Calculated values
Formation energy without anion corrections ... -0.701 eV/atom

***

LaCo2Si: single point on PBEsol structure, SCAN.

a b c (Å): 4.3325 4.3325 3.2128
angles (deg): 90.00 90.00 90.00
Space group P4/mmm (No. 123)
Asymmetric unit:
1 La 0.0000 0.0000 0.0000 [1 per cell]
2 Co 0.0000 0.5000 0.5000 [2 per cell]
3 Si 0.5000 0.5000 0.0000 [1 per cell]

Calculated values
Formation energy without anion corrections ... 0.188 eV/atom

***

LaCo8Si5: single point on PBEsol structure, SCAN.

a b c (Å): 7.7024 7.7024 11.3432
angles (deg): 90.00 90.00 90.00
Space group I4/mcm (No. 140)
Asymmetric unit:
1 La 0.0000 0.0000 0.2500 [4 per cell]
2 Co 0.0559 0.2115 0.0000 [16 per cell]
3 Co 0.1159 0.3841 0.1790 [16 per cell]
4 Si 0.0000 0.5000 0.0000 [4 per cell]
5 Si 0.1844 0.3156 0.3765 [16 per cell]

Calculated values
Formation energy without anion corrections ... -0.419 eV/atom

***

La2CoSi: single point on PBEsol structure, SCAN.

a b c (Å): 4.0431 4.0431 22.5848
angles (deg): 90.00 90.00 120.00
Space group R3m (No. 160, hexagonal axes)
Asymmetric unit:
1 La 0.0000 0.0000 0.0000 [3 per cell]
2 La 0.0000 0.0000 0.1647 [3 per cell]
3 Co 0.0000 0.0000 0.4151 [3 per cell]
4 Si 0.0000 0.0000 0.7496 [3 per cell]

Calculated values
Formation energy without anion corrections ... -0.432 eV/atom

***

LaCo9Si4: single point on PBEsol structure, SCAN.

a b c (Å): 7.6696 7.6696 11.3075
angles (deg): 90.00 90.00 90.00
Space group I4/mcm (No. 140)
Asymmetric unit:
1 La 0.0000 0.0000 0.2500 [4 per cell]
2 Co 0.0000 0.5000 0.0000 [4 per cell]
3 Co 0.0704 0.2014 0.0000 [16 per cell]
4 Co 0.1272 0.3728 0.1795 [16 per cell]
5 Si 0.1703 0.3297 0.3798 [16 per cell]

Calculated values
Formation energy without anion corrections ... -0.395 eV/atom

***

La2CoSi: single point on PBEsol structure, SCAN.

a b c (Å): 4.0849 4.4741 9.9233
angles (deg): 90.00 90.00 90.00
Space group Amm2 (No. 38)
Asymmetric unit:
1 La 0.0000 0.0000 0.0000 [2 per cell]
2 La 0.5000 0.0000 0.3017 [2 per cell]
3 Co 0.0000 0.0000 0.7150 [2 per cell]
4 Si 0.5000 0.0000 0.6061 [2 per cell]

Calculated values
Formation energy without anion corrections ... -0.360 eV/atom

***

La3Co4Sn13: single point on PBEsol structure, SCAN.

a b c (Å): 9.5291 9.5291 9.5291
angles (deg): 90.00 90.00 90.00
Space group Pm-3n (No. 223)
Asymmetric unit:
1 La 0.0000 0.2500 0.5000 [6 per cell]
2 Co 0.2500 0.2500 0.2500 [8 per cell]
3 Sn 0.0000 0.0000 0.0000 [2 per cell]
4 Sn 0.0000 0.3015 0.1576 [24 per cell]

Calculated values
Calculated formation energy ... -0.360 eV/atom

***

La3Co2Sn7: single point on PBEsol structure, SCAN.

a b c (Å): 4.5585 27.3730 4.5585
angles (deg): 90.00 90.00 90.00
Space group Cmmm (No. 65)
Asymmetric unit:
1 La 0.0000 0.0000 0.0000 [2 per cell]
2 La 0.0000 0.3157 0.5000 [4 per cell]
3 Co 0.0000 0.1276 0.0000 [4 per cell]
4 Sn 0.0000 0.0903 0.5000 [4 per cell]
5 Sn 0.0000 0.2175 0.0000 [4 per cell]
6 Sn 0.0000 0.4096 0.0000 [4 per cell]
7 Sn 0.0000 0.5000 0.5000 [2 per cell]

Calculated values
Calculated formation energy ... -0.606 eV/atom

***

Sr2LaCo: single point on PBEsol structure, SCAN.

a b c (Å): 3.7554 4.0416 17.9813
angles (deg): 90.00 90.00 90.00
Space group Amm2 (No. 38)
Asymmetric unit:
1 Sr 0.0000 0.0000 0.0000 [2 per cell]
2 Sr 0.5000 0.0000 0.3169 [2 per cell]
3 La 0.0000 0.0000 0.6653 [2 per cell]
4 Co 0.5000 0.0000 0.1460 [2 per cell]

Calculated values
Offset from the most stable computed form ... 0.0000 eV per atom
Calculated formation energy ... 0.222 eV/atom

***

Sr2LaCo: single point on PBEsol structure, SCAN.

a b c (Å): 3.8020 3.8020 32.1272
angles (deg): 90.00 90.00 120.00
Space group R-3m (No. 166, hexagonal axes)
Asymmetric unit:
1 Sr 0.0000 0.0000 0.2263 [6 per cell]
2 La 0.0000 0.0000 0.0000 [3 per cell]
3 Co 0.0000 0.0000 0.5000 [3 per cell]

Calculated values
Offset from the most stable computed form ... 0.3013 eV per atom
Calculated formation energy ... 0.524 eV/atom

***

Number 1: total DFT energy (no corrections) -22.28 eV per atom. Number 2: total DFT energy (no corrections) -28.32 eV per atom. Number 3: total DFT energy (no corrections) -20.81 eV per atom. Number 4: total DFT energy (no corrections) -21.74 eV per atom. Number 5: total DFT energy (no corrections) -16.96 eV per atom. Number 6: total DFT energy (no corrections) -28.81 eV per atom. Number 7: total DFT energy (no corrections) -17.46 eV per atom. Number 8: total DFT energy (no corrections) -28.74 eV per atom. Number 9: total DFT energy (no corrections) -33.64 eV per atom. Number 10: total DFT energy (no corrections) -35.22 eV per atom. Number 11: total DFT energy (no corrections) -26.02 eV per atom. Number 12: total DFT energy (no corrections) -25.72 eV per atom.